No. 1
A relaxed Sm2BiRh2 crystal, computed with PBE.

Properties
Calculated formation energy: -0.72 eV/atom
Crystal system: monoclinic
Final energy: -6.327 eV per atom

```
data_Sm2BiRh2
_cell_length_a 5.890
_cell_length_b 5.890
_cell_length_c 8.290
_cell_angle_alpha 103.74
_cell_angle_beta 103.74
_cell_angle_gamma 56.52
_symmetry_space_group_name_H-M 'P 1'
_symmetry_Int_Tables_number 1
loop_
_symmetry_equiv_pos_as_xyz
'x,y,z'
loop_
_atom_site_label
_atom_site_type_symbol
_atom_site_fract_x
_atom_site_fract_y
_atom_site_fract_z
_atom_site_occupancy
Sm1 Sm 0.016 0.685 0.849 1
Sm2 Sm 0.315 0.984 0.651 1
Sm3 Sm 0.685 0.016 0.349 1
Sm4 Sm 0.984 0.315 0.151 1
Bi1 Bi 0.317 0.683 0.250 1
Bi2 Bi 0.683 0.317 0.750 1
Rh1 Rh 0.225 0.496 0.504 1
Rh2 Rh 0.496 0.225 0.004 1
Rh3 Rh 0.504 0.775 0.996 1
Rh4 Rh 0.775 0.504 0.496 1
```

---

No. 2
A relaxed Sm2Bi2Rh3 crystal, computed with PBE.

Properties
Calculated formation energy: -0.62 eV/atom
Crystal system: cubic
Final energy: -6.233 eV per atom

```
data_Sm2Bi2Rh3
_cell_length_a 7.543
_cell_length_b 7.543
_cell_length_c 7.543
_cell_angle_alpha 109.47
_cell_angle_beta 109.47
_cell_angle_gamma 109.47
_symmetry_space_group_name_H-M 'P 1'
_symmetry_Int_Tables_number 1
loop_
_symmetry_equiv_pos_as_xyz
'x,y,z'
loop_
_atom_site_label
_atom_site_type_symbol
_atom_site_fract_x
_atom_site_fract_y
_atom_site_fract_z
_atom_site_occupancy
Sm1 Sm 0.000 0.474 0.500 1
Sm2 Sm 0.026 0.026 0.026 1
Sm3 Sm 0.474 0.500 0.000 1
Sm4 Sm 0.500 0.000 0.474 1
Bi1 Bi 0.000 0.900 0.500 1
Bi2 Bi 0.500 0.000 0.900 1
Bi3 Bi 0.600 0.600 0.600 1
Bi4 Bi 0.900 0.500 0.000 1
Rh1 Rh 0.015 0.265 0.750 1
Rh2 Rh 0.235 0.250 0.485 1
Rh3 Rh 0.250 0.485 0.235 1
Rh4 Rh 0.265 0.750 0.015 1
Rh5 Rh 0.485 0.235 0.250 1
Rh6 Rh 0.750 0.015 0.265 1
```

---

No. 3
A relaxed Sm12Bi6Rh crystal, computed with PBE.

Properties
Calculated formation energy: -0.53 eV/atom
Crystal system: trigonal
Final energy: -5.119 eV per atom

```
data_Sm12Bi6Rh
_cell_length_a 8.851
_cell_length_b 8.851
_cell_length_c 8.851
_cell_angle_alpha 99.59
_cell_angle_beta 99.59
_cell_angle_gamma 99.59
_symmetry_space_group_name_H-M 'P 1'
_symmetry_Int_Tables_number 1
loop_
_symmetry_equiv_pos_as_xyz
'x,y,z'
loop_
_atom_site_label
_atom_site_type_symbol
_atom_site_fract_x
_atom_site_fract_y
_atom_site_fract_z
_atom_site_occupancy
Sm1 Sm 0.007 0.942 0.687 1
Sm2 Sm 0.058 0.313 0.993 1
Sm3 Sm 0.198 0.546 0.416 1
Sm4 Sm 0.313 0.993 0.058 1
Sm5 Sm 0.416 0.198 0.546 1
Sm6 Sm 0.454 0.584 0.802 1
Sm7 Sm 0.546 0.416 0.198 1
Sm8 Sm 0.584 0.802 0.454 1
Sm9 Sm 0.687 0.007 0.942 1
Sm10 Sm 0.802 0.454 0.584 1
Sm11 Sm 0.942 0.687 0.007 1
Sm12 Sm 0.993 0.058 0.313 1
Bi1 Bi 0.120 0.315 0.648 1
Bi2 Bi 0.315 0.648 0.120 1
Bi3 Bi 0.352 0.880 0.685 1
Bi4 Bi 0.648 0.120 0.315 1
Bi5 Bi 0.685 0.352 0.880 1
Bi6 Bi 0.880 0.685 0.352 1
Rh1 Rh 0.000 0.000 0.000 1
```

---

No. 4
A relaxed Sm12BiRh6 crystal, computed with PBE.

Properties
Calculated formation energy: -0.59 eV/atom
Crystal system: cubic
Final energy: -6.094 eV per atom

```
data_Sm12BiRh6
_cell_length_a 8.786
_cell_length_b 8.786
_cell_length_c 8.786
_cell_angle_alpha 109.47
_cell_angle_beta 109.47
_cell_angle_gamma 109.47
_symmetry_space_group_name_H-M 'P 1'
_symmetry_Int_Tables_number 1
loop_
_symmetry_equiv_pos_as_xyz
'x,y,z'
loop_
_atom_site_label
_atom_site_type_symbol
_atom_site_fract_x
_atom_site_fract_y
_atom_site_fract_z
_atom_site_occupancy
Sm1 Sm 0.118 0.306 0.812 1
Sm2 Sm 0.188 0.495 0.306 1
Sm3 Sm 0.188 0.882 0.694 1
Sm4 Sm 0.306 0.188 0.495 1
Sm5 Sm 0.306 0.812 0.118 1
Sm6 Sm 0.495 0.306 0.188 1
Sm7 Sm 0.505 0.694 0.812 1
Sm8 Sm 0.694 0.188 0.882 1
Sm9 Sm 0.694 0.812 0.505 1
Sm10 Sm 0.812 0.118 0.306 1
Sm11 Sm 0.812 0.505 0.694 1
Sm12 Sm 0.882 0.694 0.188 1
Bi1 Bi 0.000 0.000 0.000 1
Rh1 Rh 0.131 0.500 0.631 1
Rh2 Rh 0.369 0.869 0.500 1
Rh3 Rh 0.500 0.369 0.869 1
Rh4 Rh 0.500 0.631 0.131 1
Rh5 Rh 0.631 0.131 0.500 1
Rh6 Rh 0.869 0.500 0.369 1
```

---

What is the calculated formation energy in the second record? -0.62 eV/atom